LaTlOs2: relaxed, GGA-PBE.

a b c (Å): 9.0586 9.0586 9.0586
angles (deg): 20.92 20.92 20.92
Fractional coordinates of all 4 atoms:
1 La 0.0000 0.0000 0.0000
2 Tl 0.5000 0.5000 0.5000
3 Os 0.2473 0.2473 0.2473
4 Os 0.7527 0.7527 0.7527

Calculated values
ΔE_f (eV per atom): 1.004
Energy relative to the lowest polymorph listed for this composition (meV per atom): 734
Final energy (eV per atom): -6.4341